# 1
DFT (PBE-GGA) results for Ta3Ni after structural relaxation.

Geometry as extended XYZ:
```
24
Lattice="5.242 0.000 0.000 -2.621 4.540 0.000 0.000 0.000 16.852" Properties=species:S:1:pos:R:3 pbc="T T T"
Ta 0.000 0.000 1.612
Ta 0.000 0.000 6.814
Ta 0.000 0.000 10.038
Ta 0.000 0.000 15.241
Ta -1.311 2.270 0.000
Ta -1.311 2.270 8.426
Ta 0.000 3.027 2.368
Ta 0.000 3.027 6.058
Ta 0.000 3.027 11.096
Ta 0.000 3.027 14.182
Ta 2.621 0.000 0.000
Ta 2.621 0.000 8.426
Ta 1.311 2.270 0.000
Ta 1.311 2.270 8.426
Ta 2.621 1.513 2.670
Ta 2.621 1.513 5.756
Ta 2.621 1.513 10.794
Ta 2.621 1.513 14.484
Ni 0.000 1.378 4.213
Ni -1.428 3.851 4.213
Ni 1.193 0.689 12.639
Ni 1.428 3.851 4.213
Ni 4.049 0.689 12.639
Ni 2.621 3.162 12.639
```

Computed properties:
- Crystal system: hexagonal



# 2
DFT (PBE-GGA) results for TaNi after structural relaxation.

Geometry as extended XYZ:
```
4
Lattice="4.226 0.000 0.000 -2.113 3.659 0.000 0.000 0.000 4.889" Properties=species:S:1:pos:R:3 pbc="T T T"
Ta 0.000 2.440 1.222
Ta 2.113 1.220 3.667
Ni 0.000 2.440 3.667
Ni 2.113 1.220 1.222
```

Computed properties:
- Crystal system: hexagonal



# 3
DFT (PBE-GGA) results for Ta8Ni7 after structural relaxation.

Geometry as extended XYZ:
```
30
Lattice="9.409 0.000 0.000 0.000 9.409 0.000 0.000 0.000 5.182" Properties=species:S:1:pos:R:3 pbc="T T T"
Ta 0.582 2.592 0.000
Ta 1.694 7.715 1.306
Ta 1.694 7.715 3.876
Ta 2.113 5.287 2.591
Ta 2.592 0.582 0.000
Ta 3.011 3.011 1.285
Ta 3.011 3.011 3.897
Ta 4.122 7.296 2.591
Ta 5.287 2.113 2.591
Ta 6.398 6.398 1.285
Ta 6.398 6.398 3.897
Ta 6.817 8.826 0.000
Ta 7.296 4.122 2.591
Ta 7.715 1.694 1.306
Ta 7.715 1.694 3.876
Ta 8.826 6.817 0.000
Ni 0.000 0.000 0.000
Ni 0.351 3.420 2.591
Ni 0.966 0.966 2.591
Ni 1.284 5.055 0.000
Ni 3.420 0.351 2.591
Ni 3.739 5.670 0.000
Ni 4.354 8.125 0.000
Ni 4.704 4.704 2.591
Ni 5.055 1.284 0.000
Ni 5.670 3.739 0.000
Ni 5.989 9.058 2.591
Ni 8.125 4.354 0.000
Ni 8.443 8.443 2.591
Ni 9.058 5.989 2.591
```

Computed properties:
- Energy above the lowest structure with this stoichiometry: 178 meV/atom
- Crystal system: tetragonal



# 4
DFT (PBE-GGA) results for Ta10Ni3 after structural relaxation.

Geometry as extended XYZ:
```
13
Lattice="2.734 1.579 8.797 -2.734 1.579 8.797 0.000 -3.158 8.797" Properties=species:S:1:pos:R:3 pbc="T T T"
Ta 0.000 0.000 1.336
Ta -1.382 -0.798 11.092
Ta 0.000 0.000 3.946
Ta 0.000 -1.596 15.299
Ta -1.382 0.798 15.299
Ta 1.382 -0.798 11.092
Ta 0.000 1.596 11.092
Ta 0.000 0.000 22.445
Ta 1.382 0.798 15.299
Ta 0.000 0.000 25.055
Ni 0.000 0.000 8.844
Ni 0.000 0.000 13.195
Ni 0.000 0.000 17.546
```

Computed properties:
- Energy above the lowest structure with this stoichiometry: 75 meV/atom
- Crystal system: trigonal



# 5
DFT (PBE-GGA) results for TaNi2 after structural relaxation.

Geometry as extended XYZ:
```
30
Lattice="9.105 0.000 0.000 0.000 9.105 0.000 0.000 0.000 4.764" Properties=species:S:1:pos:R:3 pbc="T T T"
Ta 0.000 0.000 0.000
Ta 0.384 3.219 2.382
Ta 1.333 4.937 0.000
Ta 3.219 0.384 2.382
Ta 4.168 7.772 0.000
Ta 4.553 4.553 2.382
Ta 4.937 1.333 0.000
Ta 5.886 8.721 2.382
Ta 7.772 4.168 0.000
Ta 8.721 5.886 2.382
Ni 0.643 2.381 0.000
Ni 0.837 0.837 2.382
Ni 1.626 7.480 1.199
Ni 1.626 7.480 3.564
Ni 2.172 5.196 2.382
Ni 2.381 0.643 0.000
Ni 2.927 2.927 1.182
Ni 2.927 2.927 3.581
Ni 3.716 5.390 0.000
Ni 3.910 6.933 2.382
Ni 5.196 2.172 2.382
Ni 5.390 3.716 0.000
Ni 6.178 6.178 1.182
Ni 6.178 6.178 3.581
Ni 6.725 8.463 0.000
Ni 6.933 3.910 2.382
Ni 7.480 1.626 1.199
Ni 7.480 1.626 3.564
Ni 8.268 8.268 2.382
Ni 8.463 6.725 0.000
```

Computed properties:
- Crystal system: tetragonal



# 6
DFT (PBE-GGA) results for TaNi after structural relaxation.

Geometry as extended XYZ:
```
24
Lattice="4.959 0.000 0.000 -2.480 4.295 0.000 0.000 0.000 16.140" Properties=species:S:1:pos:R:3 pbc="T T T"
Ta 0.000 0.000 1.468
Ta 0.000 0.000 6.602
Ta 0.000 0.000 9.538
Ta 0.000 0.000 14.672
Ta 0.000 2.863 2.057
Ta 0.000 2.863 6.013
Ta 0.000 2.863 10.553
Ta 0.000 2.863 13.656
Ta 2.480 1.432 2.484
Ta 2.480 1.432 5.586
Ta 2.480 1.432 10.127
Ta 2.480 1.432 14.083
Ni -1.240 2.147 0.000
Ni -1.240 2.147 8.070
Ni 0.000 1.364 4.035
Ni -1.298 3.613 4.035
Ni 1.182 0.682 12.105
Ni 2.480 0.000 0.000
Ni 2.480 0.000 8.070
Ni 1.240 2.147 0.000
Ni 1.240 2.147 8.070
Ni 1.298 3.613 4.035
Ni 3.778 0.682 12.105
Ni 2.480 2.931 12.105
```

Computed properties:
- Crystal system: hexagonal



no.,E (Ha/atom),energy relative to the elements (eV per atom)
1,-0.3782,-0.01
2,-0.2936,0.72
3,-0.3236,0.12
4,-0.3720,0.28
5,-0.2904,-0.24
6,-0.3274,-0.20